{
  "formula": "YGa2Ir2",
  "functional": "PBE-GGA",
  "state": "relaxed",
  "lattice_angstrom": [[-2.120, 2.120, 5.041], [2.120, -2.120, 5.041], [2.120, 2.120, -5.041]],
  "species": ["Y", "Ga", "Ga", "Ir", "Ir"],
  "frac_coords": [[0.000, 0.000, 0.000], [0.377, 0.377, 0.000], [0.623, 0.623, 0.000], [0.250, 0.750, 0.500], [0.750, 0.250, 0.500]],
  "vol_a3_per_cell": 91,
  "space_group": "I4/mmm (139)",
  "e_tot_ev_per_fu": -33.71
}